The following is a GGA-PBEsol calculation of a relaxed LiTl2Ag crystal, from Alexandria via LeMat-Bulk.

Space-group type: No. 166
Distance to the lowest polymorph of the same formula, eV/atom: 0.070
Raw total energy, eV/atom: -2.66
Total moment, μB/cell: 0.00
Formation energy, meV/atom: -23

abc: 3.304 3.304 9.336
angles: 79.81 79.81 60.00
Positions (direct):
1 Tl 0.749 0.749 0.752
2 Tl 0.251 0.251 0.248
3 Li 0.000 0.000 0.000
4 Ag 0.500 0.500 0.500